(1)
! VBIO2 PBE with a Hubbard U relaxed; values from VASP
&SYSTEM
  ibrav = 0, nat = 5, ntyp = 4
/
ATOMIC_SPECIES
O 16.00 O.upf
B 10.81 B.upf
V 50.94 V.upf
I 126.90 I.upf
ATOMIC_POSITIONS crystal
O 0.000 0.500 0.000
O 0.500 0.000 0.000
B 0.500 0.500 0.500
V 0.000 0.000 0.000
I 0.000 0.000 0.500
CELL_PARAMETERS angstrom
-2.561 -2.410 -1.217
2.103 -2.833 1.185
-2.766 0.209 5.407
! - Energy: -5.12 eV/atom

=====

(2)
! BWIO2 PBE with a Hubbard U relaxed; values from VASP
&SYSTEM
  ibrav = 0, nat = 5, ntyp = 4
/
ATOMIC_SPECIES
B 10.81 B.upf
O 16.00 O.upf
I 126.90 I.upf
W 183.84 W.upf
ATOMIC_POSITIONS crystal
B 0.000 0.000 0.000
O 0.000 0.500 0.000
I 0.000 0.000 0.500
W 0.500 0.500 0.500
O 0.500 0.000 0.000
CELL_PARAMETERS angstrom
3.900 0.000 0.000
0.000 3.900 0.000
0.000 0.000 4.598
! - Energy: -4.23 eV/atom

=====

(3)
! BWIO2 PBE with a Hubbard U relaxed; values from VASP
&SYSTEM
  ibrav = 0, nat = 5, ntyp = 4
/
ATOMIC_SPECIES
B 10.81 B.upf
O 16.00 O.upf
I 126.90 I.upf
W 183.84 W.upf
ATOMIC_POSITIONS crystal
B 0.500 0.500 0.500
O 0.500 0.000 0.000
O 0.000 0.500 0.000
I 0.000 0.000 0.500
W 0.000 0.000 0.000
CELL_PARAMETERS angstrom
-2.802 -1.095 2.442
2.380 -2.636 1.549
2.383 5.102 5.022
! - Energy: -5.19 eV/atom

=====

Which of these has the lowest energy? number 3

=====

Among the records above, which one has the lowest energy? number 3

=====

Copy entry 3 word for word.
! BWIO2 PBE with a Hubbard U relaxed; values from VASP
&SYSTEM
  ibrav = 0, nat = 5, ntyp = 4
/
ATOMIC_SPECIES
B 10.81 B.upf
O 16.00 O.upf
I 126.90 I.upf
W 183.84 W.upf
ATOMIC_POSITIONS crystal
B 0.500 0.500 0.500
O 0.500 0.000 0.000
O 0.000 0.500 0.000
I 0.000 0.000 0.500
W 0.000 0.000 0.000
CELL_PARAMETERS angstrom
-2.802 -1.095 2.442
2.380 -2.636 1.549
2.383 5.102 5.022
! - Energy: -5.19 eV/atom

=====

What did the first record say?
! VBIO2 PBE with a Hubbard U relaxed; values from VASP
&SYSTEM
  ibrav = 0, nat = 5, ntyp = 4
/
ATOMIC_SPECIES
O 16.00 O.upf
B 10.81 B.upf
V 50.94 V.upf
I 126.90 I.upf
ATOMIC_POSITIONS crystal
O 0.000 0.500 0.000
O 0.500 0.000 0.000
B 0.500 0.500 0.500
V 0.000 0.000 0.000
I 0.000 0.000 0.500
CELL_PARAMETERS angstrom
-2.561 -2.410 -1.217
2.103 -2.833 1.185
-2.766 0.209 5.407
! - Energy: -5.12 eV/atom